Entry from Alexandria: an optimized crystal structure of Ga2SiNiO6 (PBE with a Hubbard U).

Lattice parameters (Å, degrees): 6.955 6.955 5.356 105.72 105.72 97.46
Fractional positions:
Ga 0.050 0.221 0.170
Ga 0.221 0.050 0.670
Ga 0.779 0.950 0.330
Ga 0.950 0.779 0.830
Si 0.323 0.677 0.250
Si 0.677 0.323 0.750
Ni 0.408 0.592 0.750
Ni 0.592 0.408 0.250
O 0.049 0.192 0.502
O 0.157 0.643 0.951
O 0.192 0.049 0.002
O 0.302 0.459 0.327
O 0.357 0.843 0.549
O 0.459 0.302 0.827
O 0.541 0.698 0.173
O 0.643 0.157 0.451
O 0.698 0.541 0.673
O 0.808 0.951 0.998
O 0.843 0.357 0.049
O 0.951 0.808 0.498

Calculated values
* DFT total energy: -6.2513 eV/atom
* space group: C2/c (15)